! GGA-PBE PmPr3Sm6Er2, optimized geometry; values from VASP
! Magnetization ... 0.0 μB per formula unit
! ΔH_f (0 K) ... 18 meV per atom
! V ... 33.913 A^3/atom
! DFT total energy ... -56.32 eV for the cell shown
! SG ... C2/m (12)
&SYSTEM
  ibrav = 0, nat = 12, ntyp = 4
/
ATOMIC_SPECIES
Pm 145.00 Pm.upf
Pr 140.91 Pr.upf
Sm 150.36 Sm.upf
Er 167.26 Er.upf
ATOMIC_POSITIONS crystal
Pm 0.000 0.000 0.000
Pr 0.167 0.833 0.500
Pr 0.500 0.500 0.500
Pr 0.833 0.167 0.500
Sm 0.082 0.416 0.246
Sm 0.252 0.252 0.754
Sm 0.416 0.082 0.246
Sm 0.584 0.918 0.754
Sm 0.748 0.748 0.246
Sm 0.918 0.584 0.754
Er 0.333 0.667 0.000
Er 0.667 0.333 0.000
CELL_PARAMETERS angstrom
3.147 -5.451 0.000
3.147 5.451 0.000
-2.102 0.000 11.863